The following is a DFT calculation (PBE) of a relaxed Ho3Mg3TlAg2 crystal.

Cell lengths 7.7313, 7.7313, 4.1659 Å; angles 90.00, 90.00, 120.00 degrees
Closest atoms and distances in Å follow each position.
Element x y z (fractional)
Mg 0.2585 0.2585 0.0000  2 Tl 2.89, 2 Ag 2.91
Ag 0.6667 0.3333 0.0000  3 Mg 2.91, 6 Ho 3.12
Ho 0.5838 0.5838 0.5000  4 Ag 3.12, 1 Tl 3.22, 2 Mg 3.27
Ag 0.3333 0.6667 0.0000  3 Mg 2.91, 6 Ho 3.12
Tl 0.0000 0.0000 0.5000  6 Mg 2.89, 3 Ho 3.22
Mg 0.0000 0.7415 0.0000  2 Tl 2.89, 2 Ag 2.91
Ho 0.0000 0.4162 0.5000  4 Ag 3.12, 1 Tl 3.22, 2 Mg 3.27
Ho 0.4162 0.0000 0.5000  4 Ag 3.12, 1 Tl 3.22, 2 Mg 3.27
Mg 0.7415 0.0000 0.0000  2 Tl 2.89, 2 Ag 2.91

Results
size of the total moment	0.00	μB per formula unit
E	-3.18	eV/atom